Compound: Li2CdPt
Source: Alexandria
Functional: PBE
Structure: optimized geometry

Geometry as POSCAR:
```
Li2CdPt
1.0
-2.943 -0.704 -1.078
-0.062 -2.608 1.874
-2.495 3.371 4.610
Cd Li Pt
1 2 1
direct
0.500 0.500 0.745 Cd
0.000 0.000 0.023 Li
0.500 0.500 0.269 Li
0.000 0.000 0.463 Pt
```

Properties
Crystal system: tetragonal
Symmetry: P4mm, No. 99
E_tot: -12.12 eV/cell
ΔH_f (0 K): -0.33 eV per atom